Density functional theory data (PBE) for a relaxed CaYI3 crystal.

It has space group Pm-3m (No. 221), with a = 6.0045 Å, b = 6.0045 Å, c = 6.0045 Å, α = 90.00°, β = 90.00° and γ = 90.00°. The asymmetric unit holds Ca at (0.0000, 0.0000, 0.0000), Y at (0.5000, 0.5000, 0.5000) and I at (0.0000, 0.5000, 0.5000).

The excess energy over the best structure of this formula in the dataset comes out at 0.00 eV per formula unit. Its density of states at the Fermi level is 5.51 states/eV/f.u. The calculation puts the formation energy from raw total energies at -773.4 meV per atom. The energy comes out at -3.397 eV/atom.

***

Density functional theory data (PBE) for a relaxed KYAl crystal.

It has space group I4mm (No. 107), with a = 3.6757 Å, b = 3.6757 Å, c = 15.5755 Å, α = 90.00°, β = 90.00° and γ = 90.00°. The asymmetric unit holds K at (0.0000, 0.0000, 0.0000), Y at (0.0000, 0.0000, 0.7341) and Al at (0.0000, 0.0000, 0.3307).

The excess energy over the best structure of this formula in the dataset comes out at 0.77 eV per formula unit. Its density of states at the Fermi level is 2.61 states/eV/f.u. The value obtained for the energy of formation from the pure elements is 0.143 eV per atom. The energy comes out at -3.625 eV/atom.

***

Density functional theory data (PBE) for a relaxed SmY2Er crystal.

It has space group P1 (No. 1), with a = 3.6499 Å, b = 6.2975 Å, c = 6.7473 Å, α = 117.80°, β = 105.69° and γ = 90.00°. The asymmetric unit holds Sm at (0.0000, 0.0000, 0.0000), Y at (0.5029, 0.5038, 0.0059), Y at (0.7534, 0.0879, 0.5033) and Er at (0.2531, 0.5859, 0.5029).

The excess energy over the best structure of this formula in the dataset comes out at 0.01 eV per formula unit. Its density of states at the Fermi level is 7.16 states/eV/f.u. The value obtained for the energy of formation from the pure elements is 0.009 eV per atom. The energy comes out at -5.543 eV/atom.

***

Density functional theory data (PBE) for a relaxed Nd8Te4As3Cl crystal.

It has space group R-3m (No. 166, hexagonal axes), with a = 8.6610 Å, b = 8.6610 Å, c = 21.8937 Å, α = 90.00°, β = 90.00° and γ = 120.00°. The asymmetric unit holds Nd at (0.0000, 0.0000, 0.2395), Nd at (0.0108, 0.5054, 0.7598), Te at (0.0000, 0.0000, 0.0000), Te at (0.0000, 0.5000, 0.0000), As at (0.0000, 0.5000, 0.5000) and Cl at (0.0000, 0.0000, 0.5000).

Its density of states at the Fermi level is 6.77 states/eV/f.u. The calculation puts the formation energy from raw total energies at -1512.8 meV per atom. The energy comes out at -5.669 eV/atom.

***

Density functional theory data (PBE) for a relaxed Hg2PtF6 crystal.

It has space group R3 (No. 146, hexagonal axes), with a = 6.0332 Å, b = 6.0332 Å, c = 18.9373 Å, α = 90.00°, β = 90.00° and γ = 120.00°. The asymmetric unit holds Hg at (0.0000, 0.0000, 0.0000), Hg at (0.0000, 0.0000, 0.1379), Pt at (0.0000, 0.0000, 0.8257), F at (0.0246, 0.4744, 0.5545) and F at (0.1395, 0.7766, 0.4344).

The excess energy over the best structure of this formula in the dataset comes out at 0.43 eV per formula unit. The calculation puts the formation energy from raw total energies at -1273.9 meV per atom. The energy comes out at -3.260 eV/atom.

***

Density functional theory data (PBE) for a relaxed Ta2V2Si crystal.

It has space group P4/mbm (No. 127), with a = 6.2606 Å, b = 6.2606 Å, c = 4.0419 Å, α = 90.00°, β = 90.00° and γ = 90.00°. The asymmetric unit holds Ta at (0.1782, 0.3218, 0.0000), V at (0.1357, 0.6357, 0.5000) and Si at (0.0000, 0.0000, 0.5000).

The excess energy over the best structure of this formula in the dataset comes out at 0.00 eV per formula unit. Its density of states at the Fermi level is 4.49 states/eV/f.u. The calculation puts the formation energy from raw total energies at 89.0 meV per atom. The energy comes out at -9.384 eV/atom.

***

Density functional theory data (PBE) for a relaxed KCrHg crystal.

It has space group P3m1 (No. 156), with a = 3.6352 Å, b = 3.6352 Å, c = 7.7919 Å, α = 90.00°, β = 90.00° and γ = 120.00°. The asymmetric unit holds K at (0.0000, 0.0000, 0.0000), Cr at (0.6667, 0.3333, 0.3832) and Hg at (0.3333, 0.6667, 0.6383).

The excess energy over the best structure of this formula in the dataset comes out at 0.56 eV per formula unit. Its density of states at the Fermi level is 1.05 states/eV/f.u. The value obtained for the energy of formation from the pure elements is 0.660 eV per atom. The energy comes out at -3.014 eV/atom.